Version i
The following is a DFT calculation (PBE) of TbDy6In2 after structural relaxation.

Computed properties:
Space group: I-42m, No. 121

Lattice parameters (Å, degrees): 6.244 6.244 8.808 110.76 110.76 90.00
Sites, in units of the cell vectors:
Tb (0.500, 0.500, 0.000)
Dy (0.911, 0.265, 0.175)
Dy (0.735, 0.735, 0.825)
Dy (0.265, 0.911, 0.175)
Dy (0.089, 0.089, 0.825)
Dy (0.750, 0.250, 0.500)
Dy (0.250, 0.750, 0.500)
In (0.288, 0.288, 0.576)
In (0.712, 0.712, 0.424)

Version ii
The following is a DFT calculation (PBE) of TbDy6In2 after structural relaxation.

Computed properties:
Space group: C2/m, No. 12

Lattice parameters (Å, degrees): 3.744 6.630 11.763 74.80 80.84 73.60
Sites, in units of the cell vectors:
Tb (0.000, 0.000, 0.000)
Dy (0.685, 0.507, 0.124)
Dy (0.315, 0.493, 0.876)
Dy (0.310, 0.795, 0.585)
Dy (0.985, 0.687, 0.342)
Dy (0.015, 0.313, 0.658)
Dy (0.690, 0.205, 0.415)
In (0.357, 0.079, 0.207)
In (0.643, 0.921, 0.793)

Computed stability ranking, most favorable first: version ii, version i